# PaCoS2, optimized geometry, DFT PBE
data_PaCoS2
_chemical_formula_sum 'Pa3 Co3 S6'
_space_group_name_H-M_alt 'R -3 m'
_space_group_IT_number 166
_space_group_name_Hall '-R 3 2"'
_cell_length_a 4.0711
_cell_length_b 4.0711
_cell_length_c 20.9604
_cell_angle_alpha 90.00
_cell_angle_beta 90.00
_cell_angle_gamma 120.00
loop_
_atom_site_label
_atom_site_fract_x
_atom_site_fract_y
_atom_site_fract_z
Pa1 0.0000 0.0000 0.0000
Co1 0.0000 0.0000 0.5000
S1 0.0000 0.0000 0.3997
# spin magnetization = 0.01 μB/f.u.
# uncorrected formation energy = -0.64 eV/atom



# La2ThNi9, optimized geometry, DFT PBE
data_La2ThNi9
_chemical_formula_sum 'La6 Th3 Ni27'
_space_group_name_H-M_alt 'R -3 m'
_space_group_IT_number 166
_space_group_name_Hall '-R 3 2"'
_cell_length_a 5.0169
_cell_length_b 5.0169
_cell_length_c 25.2679
_cell_angle_alpha 90.00
_cell_angle_beta 90.00
_cell_angle_gamma 120.00
loop_
_atom_site_label
_atom_site_fract_x
_atom_site_fract_y
_atom_site_fract_z
La1 0.0000 0.0000 0.1386
Th1 0.0000 0.0000 0.0000
Ni1 0.0000 0.0000 0.3327
Ni2 0.0000 0.0000 0.5000
Ni3 0.0014 0.5007 0.0800
# spin magnetization = 0.00 μB/f.u.
# E_tot = -6.1464 eV per atom



# SiRhAu, optimized geometry, DFT PBE
data_SiRhAu
_chemical_formula_sum 'Si2 Rh2 Au2'
_space_group_name_H-M_alt 'I m m 2'
_space_group_IT_number 44
_space_group_name_Hall 'I 2 -2'
_cell_length_a 2.888
_cell_length_b 3.201
_cell_length_c 9.853
_cell_angle_alpha 90.00
_cell_angle_beta 90.00
_cell_angle_gamma 90.00
loop_
_atom_site_label
_atom_site_fract_x
_atom_site_fract_y
_atom_site_fract_z
Si1 0.000 0.000 0.000
Rh1 0.000 0.000 0.612
Au1 0.000 0.000 0.321
# spin magnetization = 0.00 μB/f.u.
# uncorrected formation energy = -0.27 eV/atom



# AlW2Au, optimized geometry, DFT PBE
data_AlW2Au
_chemical_formula_sum 'Al4 W8 Au4'
_space_group_name_H-M_alt 'I -4 2 d'
_space_group_IT_number 122
_space_group_name_Hall 'I -4 2bw'
_cell_length_a 7.246
_cell_length_b 7.246
_cell_length_c 5.337
_cell_angle_alpha 90.00
_cell_angle_beta 90.00
_cell_angle_gamma 90.00
loop_
_atom_site_label
_atom_site_fract_x
_atom_site_fract_y
_atom_site_fract_z
Al1 0.000 0.000 0.000
W1 0.241 0.250 0.125
Au1 0.000 0.000 0.500
# spin magnetization = 0.00 μB/f.u.
# E_tot = -7.4052 eV per atom



> What is the spin magnetization in the second record?

0.00 μB/f.u.



> Number 4 is which compound?

AlW2Au



> Which formula does entry 4 have?

AlW2Au